# 1
Compound: Cd2Ag2Rh
Source: Alexandria via LeMat-Bulk
Functional: PBE-GGA
Structure: optimized geometry

The calculation puts the formation energy at 0.23 eV/atom. The value obtained for the density of states at the Fermi level is 0.50 states/eV per atom. The value obtained for the size of the total moment is 0.0 μB/f.u. The uncorrected energy comes out at -2.745 eV/atom. For the energy above the most stable polymorph in this dataset, the calculation gives 223 meV/atom.

It has space group P4/mbm (No. 127), with a = 7.247 Å, b = 7.247 Å, c = 3.660 Å, α = 90.00°, β = 90.00° and γ = 90.00°. The asymmetric unit holds Cd at (0.143, 0.357, 0.000), Ag at (0.161, 0.661, 0.500) and Rh at (0.000, 0.000, 0.000).


# 2
Compound: CdAg4Rh
Source: Alexandria via LeMat-Bulk
Functional: PBE-GGA
Structure: optimized geometry

The calculation puts the formation energy at 0.27 eV/atom. The value obtained for the density of states at the Fermi level is 0.45 states/eV per atom. The value obtained for the size of the total moment is 0.0 μB/f.u. The uncorrected energy comes out at -3.011 eV/atom.

It has space group F-43m (No. 216), with a = 7.630 Å, b = 7.630 Å, c = 7.630 Å, α = 90.00°, β = 90.00° and γ = 90.00°. The asymmetric unit holds Cd at (0.000, 0.000, 0.000), Ag at (0.125, 0.125, 0.375) and Rh at (0.250, 0.250, 0.750).


# 3
Compound: Cd6AgRh2
Source: Alexandria via LeMat-Bulk
Functional: PBE-GGA
Structure: optimized geometry

The calculation puts the formation energy at -0.07 eV/atom. The value obtained for the density of states at the Fermi level is 0.36 states/eV per atom. The value obtained for the size of the total moment is 0.0 μB/f.u. The uncorrected energy comes out at -2.631 eV/atom.

It has space group C2/m (No. 12), with a = 9.001 Å, b = 4.314 Å, c = 8.904 Å, α = 90.00°, β = 103.69° and γ = 90.00°. The asymmetric unit holds Cd at (0.001, 0.000, 0.182), Cd at (0.166, 0.500, 0.397), Cd at (0.172, 0.500, 0.063), Ag at (0.000, 0.000, 0.500) and Rh at (0.169, 0.500, 0.726).


# 4
Compound: Cd2AgRh2
Source: Alexandria via LeMat-Bulk
Functional: PBE-GGA
Structure: optimized geometry

The calculation puts the formation energy at 0.16 eV/atom. The value obtained for the density of states at the Fermi level is 0.60 states/eV per atom. The value obtained for the size of the total moment is 0.0 μB/f.u. The uncorrected energy comes out at -3.721 eV/atom.

It has space group P4/mbm (No. 127), with a = 7.592 Å, b = 7.592 Å, c = 3.154 Å, α = 90.00°, β = 90.00° and γ = 90.00°. The asymmetric unit holds Cd at (0.153, 0.347, 0.000), Ag at (0.000, 0.000, 0.000) and Rh at (0.143, 0.643, 0.500).


# 5
Compound: Cd2Ag2Rh
Source: Alexandria via LeMat-Bulk
Functional: PBE-GGA
Structure: optimized geometry

The calculation puts the formation energy at 0.21 eV/atom. The value obtained for the density of states at the Fermi level is 0.33 states/eV per atom. The value obtained for the size of the total moment is 0.0 μB/f.u. The uncorrected energy comes out at -2.767 eV/atom. For the energy above the most stable polymorph in this dataset, the calculation gives 201 meV/atom.

It has space group P4/mbm (No. 127), with a = 7.464 Å, b = 7.464 Å, c = 3.396 Å, α = 90.00°, β = 90.00° and γ = 90.00°. The asymmetric unit holds Cd at (0.172, 0.328, 0.000), Ag at (0.131, 0.631, 0.500) and Rh at (0.000, 0.000, 0.500).


# 6
Compound: Cd3AgRh
Source: Alexandria via LeMat-Bulk
Functional: PBE-GGA
Structure: optimized geometry

The calculation puts the formation energy at -0.05 eV/atom. The value obtained for the density of states at the Fermi level is 0.46 states/eV per atom. The value obtained for the size of the total moment is 0.0 μB/f.u. The uncorrected energy comes out at -2.639 eV/atom. For the energy above the most stable polymorph in this dataset, the calculation gives 0 meV/atom.

It has space group P-1 (No. 2), with a = 4.228 Å, b = 5.896 Å, c = 7.816 Å, α = 82.27°, β = 74.44° and γ = 89.98°. The asymmetric unit holds Cd at (0.003, 0.234, 0.495), Cd at (0.201, 0.857, 0.098), Cd at (0.398, 0.461, 0.704), Ag at (0.201, 0.348, 0.097) and Rh at (0.396, 0.959, 0.707).


no.,density (g/cm3)
1,9.4
2,9.7
3,9.8
4,9.8
5,9.5
6,9.8